Record 1
NbAs2IrSe (PBE, optimized geometry); ρ = 7.7 g cm⁻³; ΔE_f (raw) = 0.87 eV per atom; distance to the lowest polymorph of the same formula = 0.000 eV per atom; DFT total energy = -5.4749 eV per atom
1.0
4.713 0.000 0.000
0.000 4.713 0.000
0.000 0.000 4.970
Nb As Ir Se
1 2 1 1
Direct
0.000 0.000 0.000
0.000 0.500 0.500
0.500 0.000 0.500
0.500 0.500 0.500
0.500 0.500 0.000



Record 2
NbAs2IrSe (PBE, optimized geometry); ρ = 7.2 g cm⁻³; ΔE_f (raw) = 1.02 eV per atom; distance to the lowest polymorph of the same formula = 0.154 eV per atom; DFT total energy = -5.3207 eV per atom
1.0
4.952 0.000 0.000
0.000 4.952 0.000
0.000 0.000 4.859
Nb As Ir Se
1 2 1 1
Direct
0.000 0.000 0.000
0.000 0.500 0.000
0.500 0.000 0.000
0.500 0.500 0.500
0.000 0.000 0.500



Record 3
Sr2NbAsIr (PBE, optimized geometry); ρ = 5.4 g cm⁻³; DFT total energy = -4.3667 eV per atom
1.0
5.869 0.000 0.000
0.000 5.869 0.000
0.000 0.000 4.820
Sr Nb As Ir
2 1 1 1
Direct
0.000 0.500 0.000
0.500 0.000 0.000
0.000 0.000 0.000
0.000 0.000 0.500
0.500 0.500 0.500



Record 4
TaNb2AsIr (PBE, optimized geometry); ρ = 9.1 g cm⁻³; DFT total energy = -8.1501 eV per atom
1.0
4.875 0.000 0.000
0.000 4.875 0.000
0.000 0.000 4.850
Ta Nb As Ir
1 2 1 1
Direct
0.000 0.000 0.000
0.000 0.500 0.500
0.500 0.000 0.500
0.500 0.500 0.000
0.000 0.000 0.500



Record 5
NbTeAs2Ir (PBE, optimized geometry); ρ = 7.9 g cm⁻³; ΔE_f (raw) = 0.89 eV per atom; DFT total energy = -5.3865 eV per atom
1.0
4.697 0.000 0.000
0.000 4.697 0.000
0.000 0.000 5.370
Nb Te As Ir
1 1 2 1
Direct
0.000 0.000 0.000
0.500 0.500 0.000
0.000 0.500 0.500
0.500 0.000 0.500
0.500 0.500 0.500



Record 6
Th2NbAs3Ir4 (PBE, optimized geometry); ρ = 13.5 g cm⁻³; DFT total energy = -8.1912 eV per atom
1.0
4.200 0.000 0.000
0.000 4.200 0.000
0.000 0.000 10.790
Th Nb As Ir
2 1 3 4
Direct
0.000 0.500 0.236
0.500 0.000 0.764
0.000 0.000 0.500
0.000 0.500 0.864
0.500 0.000 0.136
0.500 0.500 0.500
0.000 0.000 0.000
0.000 0.500 0.637
0.500 0.000 0.363
0.500 0.500 0.000



Record 7
NbAs2IrW (PBE, optimized geometry); ρ = 9.4 g cm⁻³; DFT total energy = -7.0483 eV per atom
1.0
4.746 0.000 0.000
0.000 4.746 0.000
0.000 0.000 4.830
Nb As Ir W
1 2 1 1
Direct
0.000 0.000 0.000
0.000 0.500 0.500
0.500 0.000 0.500
0.500 0.500 0.000
0.500 0.500 0.500



Record 8
ZrNbAs2Ir (PBE, optimized geometry); ρ = 7.4 g cm⁻³; DFT total energy = -6.3653 eV per atom
1.0
4.816 0.000 0.000
0.000 4.816 0.000
0.000 0.000 5.113
Zr Nb As Ir
1 1 2 1
Direct
0.000 0.000 0.000
0.000 0.000 0.500
0.000 0.500 0.500
0.500 0.000 0.500
0.500 0.500 0.000



Record 9
NdAsIr (PBE, optimized geometry); ρ = 10.5 g cm⁻³; DFT total energy = -7.0105 eV per atom
1.0
4.279 0.000 0.000
-2.140 3.706 0.000
0.000 0.000 4.106
Nd As Ir
1 1 1
Direct
0.000 0.000 0.000
0.667 0.333 0.500
0.333 0.667 0.500



Record 10
Nd2As4Ir5 (PBE, optimized geometry); ρ = 12.2 g cm⁻³; DFT total energy = -7.0912 eV per atom
1.0
0.000 4.980 7.570
2.788 0.000 7.570
2.788 4.980 0.000
Nd As Ir
2 4 5
Direct
0.129 0.129 0.871
0.871 0.871 0.129
0.212 0.531 0.469
0.469 0.788 0.212
0.531 0.212 0.788
0.788 0.469 0.531
0.000 0.000 0.500
0.250 0.250 0.250
0.500 0.500 0.000
0.500 0.500 0.500
0.750 0.750 0.750



Record 11
Nd3As5Ir6 (PBE, optimized geometry); ρ = 12.3 g cm⁻³; DFT total energy = -7.2028 eV per atom
1.0
4.090 0.000 0.000
0.000 12.339 0.000
0.000 0.000 10.469
Nd As Ir
6 10 12
Direct
0.250 0.089 0.247
0.250 0.411 0.247
0.250 0.750 0.237
0.750 0.250 0.763
0.750 0.589 0.753
0.750 0.911 0.753
0.250 0.079 0.644
0.250 0.421 0.644
0.250 0.623 0.978
0.250 0.750 0.632
0.250 0.877 0.978
0.750 0.123 0.022
0.750 0.250 0.368
0.750 0.377 0.022
0.750 0.579 0.356
0.750 0.921 0.356
0.250 0.063 0.874
0.250 0.250 0.013
0.250 0.250 0.511
0.250 0.437 0.874
0.250 0.583 0.494
0.250 0.917 0.494
0.750 0.083 0.506
0.750 0.417 0.506
0.750 0.563 0.126
0.750 0.750 0.489
0.750 0.750 0.987
0.750 0.937 0.126



Record 12
NdAsIr (PBE, optimized geometry); ρ = 10.5 g cm⁻³; DFT total energy = -7.0262 eV per atom
1.0
4.253 0.000 0.000
-2.127 3.683 0.000
0.000 0.000 12.454
Nd As Ir
3 3 3
Direct
0.000 0.000 0.000
0.000 0.000 0.332
0.000 0.000 0.668
0.333 0.667 0.500
0.667 0.333 0.161
0.667 0.333 0.839
0.333 0.667 0.173
0.333 0.667 0.827
0.667 0.333 0.500



Record 13
NdAsIr (PBE, optimized geometry); ρ = 9.7 g cm⁻³; DFT total energy = -6.8151 eV per atom
1.0
4.981 -3.069 0.000
4.981 3.069 0.000
-3.110 0.000 4.626
Nd As Ir
2 2 2
Direct
0.000 0.500 0.000
0.500 0.000 0.500
0.165 0.835 0.750
0.835 0.165 0.250
0.500 0.500 0.000
0.500 0.500 0.500



Record 14
NdAs12Ir4 (PBE, optimized geometry); ρ = 9.2 g cm⁻³; DFT total energy = -6.1090 eV per atom
1.0
-4.346 4.346 4.346
4.346 -4.346 4.346
4.346 4.346 -4.346
Nd As Ir
1 12 4
Direct
0.000 0.000 0.000
0.144 0.343 0.487
0.144 0.657 0.801
0.199 0.856 0.343
0.343 0.199 0.856
0.343 0.487 0.144
0.487 0.144 0.343
0.513 0.856 0.657
0.657 0.513 0.856
0.657 0.801 0.144
0.801 0.144 0.657
0.856 0.343 0.199
0.856 0.657 0.513
0.000 0.000 0.500
0.000 0.500 0.000
0.500 0.000 0.000
0.500 0.500 0.500



Record 15
Nd2As4Ir3 (PBE, optimized geometry); ρ = 10.9 g cm⁻³; DFT total energy = -6.7549 eV per atom
1.0
0.000 5.019 6.307
2.811 0.000 6.307
2.811 5.019 0.000
Nd As Ir
2 4 3
Direct
0.138 0.138 0.862
0.862 0.862 0.138
0.188 0.505 0.495
0.495 0.812 0.188
0.505 0.188 0.812
0.812 0.495 0.505
0.000 0.000 0.500
0.500 0.500 0.000
0.500 0.500 0.500



Record 16
Nd2As4IrPt3 (PBE, optimized geometry); ρ = 11.6 g cm⁻³; DFT total energy = -6.3240 eV per atom
1.0
4.421 0.000 0.000
0.000 4.421 0.000
0.000 0.000 10.015
Nd As Ir Pt
2 4 1 3
Direct
0.000 0.500 0.248
0.500 0.000 0.752
0.000 0.000 0.500
0.000 0.500 0.870
0.500 0.000 0.130
0.500 0.500 0.500
0.500 0.500 0.000
0.000 0.000 0.000
0.000 0.500 0.624
0.500 0.000 0.376



Record 17
Nd2As4IrRh3 (PBE, optimized geometry); ρ = 9.8 g cm⁻³; DFT total energy = -6.7830 eV per atom
1.0
4.279 0.000 0.000
0.000 4.279 0.000
0.000 0.000 10.108
Nd As Ir Rh
2 4 1 3
Direct
0.000 0.500 0.247
0.500 0.000 0.753
0.000 0.000 0.000
0.000 0.500 0.638
0.500 0.000 0.362
0.500 0.500 0.000
0.000 0.000 0.500
0.000 0.500 0.878
0.500 0.000 0.122
0.500 0.500 0.500



Record 18
NdAs2IrRh2 (PBE, optimized geometry); ρ = 9.2 g cm⁻³; DFT total energy = -6.7189 eV per atom
1.0
4.832 0.000 0.000
0.000 12.444 0.000
0.000 0.000 4.153
Nd As Ir Rh
2 4 2 4
Direct
0.000 0.000 0.000
0.500 0.500 0.500
0.173 0.317 0.000
0.327 0.817 0.500
0.673 0.183 0.500
0.827 0.683 0.000
0.000 0.500 0.000
0.500 0.000 0.500
0.065 0.657 0.500
0.435 0.157 0.000
0.565 0.843 0.000
0.935 0.343 0.500



Record 19
Nd6AsIr2Se3 (PBE, optimized geometry); ρ = 7.9 g cm⁻³; ΔE_f (raw) = -1.37 eV per atom; DFT total energy = -6.4888 eV per atom
1.0
9.357 -2.091 0.000
9.357 2.091 0.000
-2.343 0.000 8.339
Nd As Ir Se
6 1 2 3
Direct
0.009 0.009 0.249
0.328 0.328 0.427
0.333 0.333 0.893
0.667 0.667 0.107
0.672 0.672 0.573
0.991 0.991 0.751
0.500 0.500 0.000
0.168 0.168 0.337
0.832 0.832 0.663
0.162 0.162 0.839
0.500 0.500 0.500
0.838 0.838 0.161



Record 20
Nd8As3IrSe4 (PBE, optimized geometry); ρ = 7.2 g cm⁻³; ΔE_f (raw) = -1.58 eV per atom; DFT total energy = -6.2631 eV per atom
1.0
4.246 2.452 6.994
-4.246 2.452 6.994
0.000 -4.903 6.994
Nd As Ir Se
8 3 1 4
Direct
0.247 0.247 0.247
0.253 0.741 0.741
0.259 0.259 0.747
0.259 0.747 0.259
0.741 0.253 0.741
0.741 0.741 0.253
0.747 0.259 0.259
0.753 0.753 0.753
0.000 0.000 0.500
0.000 0.500 0.000
0.500 0.000 0.000
0.500 0.500 0.500
0.000 0.000 0.000
0.000 0.500 0.500
0.500 0.000 0.500
0.500 0.500 0.000